This record from OQMD via LeMat-Bulk describes LaZnPd after structural relaxation. The functional is PBE-GGA.

Unit cell a=6.9222 b=6.9222 c=6.9222 alpha=90.00 beta=90.00 gamma=90.00
Closest atoms and distances in Å follow each position.
Space group F-43m (No. 216)
Inequivalent atoms, fractional coordinates:
La 0.0000 0.0000 0.0000  4 Pd 3.00, 4 Zn 3.00
Zn 0.2500 0.2500 0.2500  4 La 3.00
Pd 0.2500 0.2500 0.7500  4 La 3.00

Values from the calculation:
The calculation puts the formation energy at -0.07 eV per atom. For the total energy, the calculation gives -3.862 eV per atom. Its spin magnetization is 0.0 Bohr magnetons per cell.